Record 1
16
Lattice="7.421 -4.271 0.000 7.421 4.271 0.000 -4.940 0.000 7.633" Properties=species:S:1:pos:R:3 comment="K4ErPu3Se8 | Alexandria | PBE | optimized geometry" magnetic_moment_mub_per_fu=4.97 e_form_raw_ev_per_atom=-1.5128 pbc="T T T"
K 0.000 0.000 0.000
K 3.711 2.136 0.000
K 3.711 -2.136 0.000
K 7.421 0.000 0.000
Er -2.470 0.000 3.816
Pu 1.241 2.136 3.816
Pu 1.241 -2.136 3.816
Pu 4.951 0.000 3.816
Se -0.029 0.000 5.370
Se 3.740 2.175 5.382
Se 6.162 2.175 2.250
Se 2.462 0.000 2.249
Se 7.440 0.000 5.383
Se 3.740 -2.175 5.382
Se 6.162 -2.175 2.250
Se 9.931 0.000 2.263

Record 2
15
Lattice="4.152 2.397 7.795 -4.152 2.397 7.795 0.000 -4.794 7.795" Properties=species:S:1:pos:R:3 comment="K3Er3PuSe8 | Alexandria | PBE | optimized geometry" magnetic_moment_mub_per_fu=4.00 e_form_raw_ev_per_atom=-1.6470 pbc="T T T"
K -2.076 -1.199 7.795
K -2.076 1.199 15.591
K 0.000 2.397 7.795
Er -4.152 0.000 11.693
Er -2.076 1.199 3.898
Er 2.076 1.199 3.898
Pu 0.000 0.000 11.693
Se 0.000 0.000 5.478
Se -2.070 -1.195 13.248
Se 0.000 -2.390 10.139
Se -2.070 1.195 10.139
Se 2.070 -1.195 13.248
Se 0.000 2.390 13.248
Se 2.070 1.195 10.139
Se 0.000 0.000 17.908

Record 3
16
Lattice="4.212 2.432 7.664 -4.212 2.432 7.664 0.000 -4.864 7.664" Properties=species:S:1:pos:R:3 comment="K4Er3PuSe8 | Alexandria | PBE | optimized geometry" magnetic_moment_mub_per_fu=5.00 e_form_raw_ev_per_atom=-1.6732 pbc="T T T"
K 0.000 0.000 0.000
K -2.106 -1.216 7.664
K -2.106 1.216 15.328
K 0.000 2.432 7.664
Er -4.212 0.000 11.496
Er -2.106 1.216 3.832
Er 2.106 1.216 3.832
Pu 0.000 0.000 11.496
Se -2.142 -1.237 13.060
Se 0.000 0.000 5.391
Se 0.000 -2.474 9.931
Se -2.142 1.237 9.931
Se 2.142 -1.237 13.060
Se 0.000 2.474 13.060
Se 0.000 0.000 17.600
Se 2.142 1.237 9.931

Record 4
12
Lattice="3.929 -6.806 0.000 3.929 6.806 0.000 -2.621 0.000 8.206" Properties=species:S:1:pos:R:3 comment="K3ErPu2Te6 | Alexandria | PBE | optimized geometry" magnetic_moment_mub_per_fu=10.00 e_form_raw_ev_per_atom=-1.1958 pbc="T T T"
K 0.000 0.000 0.000
K 3.929 2.287 0.000
K 3.929 -2.287 0.000
Er 2.619 0.000 4.103
Pu 2.619 4.539 4.103
Pu 2.619 -4.539 4.103
Te 1.328 2.236 2.393
Te 0.037 0.000 5.816
Te 1.328 -2.236 2.393
Te 3.909 2.236 5.814
Te 5.200 0.000 2.390
Te 3.909 -2.236 5.814